This record from Alexandria via LeMat-Bulk describes TbSI after structural relaxation. The functional is GGA-PBE.

Calculated values
E_tot (eV/atom): -4.90
Crystal system: hexagonal
Calculated volume (Å³ per cell): 92

Lattice parameters (Å, degrees): 4.554 4.554 5.096 90.00 90.00 120.00
Element x y z (fractional)
Tb: 0.000 0.000 0.000
S: 0.333 0.667 0.000
I: 0.667 0.333 0.500